The following is a DFT calculation (PBE) of a relaxed structure of PmDy3Te6.

Summary:
Total moment = 0.00 μB per cell
Calculated volume = 37.49 Å³ per atom
E_form (uncorrected) = -1.2177 eV per atom

abc: 7.504 8.174 8.174
angles: 63.03 62.36 62.36
Positions (direct):
Pm1 0.500 0.500 0.500
Dy1 0.330 0.250 0.250
Dy2 0.670 0.750 0.750
Dy3 0.000 0.000 0.000
Te1 0.336 0.158 0.662
Te2 0.664 0.338 0.842
Te3 0.664 0.842 0.338
Te4 0.336 0.662 0.158
Te5 0.065 0.754 0.754
Te6 0.935 0.246 0.246